NaReNO: relaxed, PBE-GGA.

Its energy above the most stable polymorph in this dataset is 62 meV per atom.

Cell: 5.8060 8.2021 4.6594 Å, 90.00 90.00 90.00°
Last column: nearest neighbours and their distance in Å.
Space group Pca2_1 (No. 29)
Inequivalent atoms, fractional coordinates:
Na 0.0866 0.1309 0.0000 (multiplicity 4)  4 N 2.35-2.47
Re 0.1299 0.6548 0.9953 (multiplicity 4)  1 N 1.74
N 0.0105 0.8495 0.9996 (multiplicity 4)  1 Re 1.74
O 0.0979 0.5008 0.6402 (multiplicity 4)  3 Re 1.96-2.13



HfTl2Os: relaxed, PBE-GGA.

The calculation puts the final energy at -5.899 eV/atom.

Cell: 6.8996 6.8996 6.8996 Å, 90.00 90.00 90.00°
Last column: nearest neighbours and their distance in Å.
Space group F-43m (No. 216)
Inequivalent atoms, fractional coordinates:
Hf 0.0000 0.0000 0.0000 (multiplicity 4)  4 Tl 2.99, 4 Os 2.99
Tl 0.0000 0.0000 0.5000 (multiplicity 4)  4 Tl 2.99, 4 Os 2.99
Tl 0.2500 0.2500 0.2500 (multiplicity 4)  4 Hf 2.99, 4 Tl 2.99
Os 0.2500 0.2500 0.7500 (multiplicity 4)  4 Hf 2.99, 4 Tl 2.99



Ag2SO4: relaxed, PBE-GGA.

Its energy above the most stable polymorph in this dataset is 473 meV per atom.

Cell: 10.3346 4.3541 9.2418 Å, 90.00 115.87 90.00°
Last column: nearest neighbours and their distance in Å.
Space group C2/c (No. 15)
Inequivalent atoms, fractional coordinates:
Ag 0.1652 0.0451 0.0530 (multiplicity 8)  4 O 2.33-2.48
S 0.0000 0.4503 0.2500 (multiplicity 4)  2 O 1.52
O 0.0642 0.4668 0.4877 (multiplicity 8)  1 O 1.47
O 0.1292 0.2475 0.2836 (multiplicity 8)  1 S 1.52



BaLiRe: relaxed, PBE-GGA.

Its energy above the most stable polymorph in this dataset is 337 meV per atom.

Cell: 7.0414 7.0414 7.0414 Å, 90.00 90.00 90.00°
Last column: nearest neighbours and their distance in Å.
Space group F-43m (No. 216)
Inequivalent atoms, fractional coordinates:
Ba 0.0000 0.0000 0.0000 (multiplicity 4)  4 Li 3.05, 4 Re 3.05
Li 0.2500 0.2500 0.7500 (multiplicity 4)  4 Ba 3.05
Re 0.2500 0.2500 0.2500 (multiplicity 4)  4 Ba 3.05



CdGe: relaxed, PBE-GGA.

The calculation puts the final energy at -2.227 eV/atom.

Cell: 6.1587 6.1587 6.1587 Å, 90.00 90.00 90.00°
Last column: nearest neighbours and their distance in Å.
Space group F-43m (No. 216)
Inequivalent atoms, fractional coordinates:
Cd 0.0000 0.0000 0.0000 (multiplicity 4)  4 Ge 2.67
Ge 0.2500 0.2500 0.7500 (multiplicity 4)  4 Cd 2.67



LuCuAgHg: relaxed, PBE-GGA.

Its energy above the most stable polymorph in this dataset is 13 meV per atom. Its formation energy is -0.74 eV per formula unit.

Cell: 6.7642 6.7642 6.7642 Å, 90.00 90.00 90.00°
Last column: nearest neighbours and their distance in Å.
Space group F-43m (No. 216)
Inequivalent atoms, fractional coordinates:
Lu 0.0000 0.0000 0.0000 (multiplicity 4)  4 Hg 2.93, 4 Cu 2.93
Cu 0.2500 0.2500 0.2500 (multiplicity 4)  4 Lu 2.93, 4 Ag 2.93
Ag 0.0000 0.0000 0.5000 (multiplicity 4)  4 Hg 2.93, 4 Cu 2.93
Hg 0.2500 0.2500 0.7500 (multiplicity 4)  4 Lu 2.93, 4 Ag 2.93



LiSi5Pt3: relaxed, PBE-GGA.

The calculation puts the final energy at -5.251 eV/atom.

Cell: 5.8802 5.8802 5.7614 Å, 90.00 90.00 120.00°
Last column: nearest neighbours and their distance in Å.
Space group P6/mmm (No. 191)
Inequivalent atoms, fractional coordinates:
Li 0.0000 0.0000 0.0000 (multiplicity 1)  2 Si 2.88
Si 0.0000 0.0000 0.5000 (multiplicity 1)  2 Li 2.88, 6 Pt 2.94
Si 0.3333 0.6667 0.2007 (multiplicity 4)  1 Si 2.31, 3 Pt 2.42
Pt 0.0000 0.5000 0.5000 (multiplicity 3)  4 Si 2.42



PrOsPd: relaxed, PBE-GGA.

Its energy above the most stable polymorph in this dataset is 0 meV per atom. Its formation energy is 1.49 eV per formula unit.

Cell: 6.4972 6.4972 6.4972 Å, 90.00 90.00 90.00°
Last column: nearest neighbours and their distance in Å.
Space group F-43m (No. 216)
Inequivalent atoms, fractional coordinates:
Pr 0.0000 0.0000 0.0000 (multiplicity 4)  4 Pd 2.81
Os 0.0000 0.0000 0.5000 (multiplicity 4)  4 Pd 2.81
Pd 0.2500 0.2500 0.7500 (multiplicity 4)  4 Pr 2.81, 4 Os 2.81



BeBIr: relaxed, PBE-GGA.

Its energy above the most stable polymorph in this dataset is 147 meV per atom.

Cell: 4.9860 4.9860 4.9860 Å, 90.00 90.00 90.00°
Last column: nearest neighbours and their distance in Å.
Space group F-43m (No. 216)
Inequivalent atoms, fractional coordinates:
Be 0.0000 0.0000 0.0000 (multiplicity 4)  4 Ir 2.16, 4 B 2.16
B 0.2500 0.2500 0.7500 (multiplicity 4)  4 Be 2.16
Ir 0.2500 0.2500 0.2500 (multiplicity 4)  4 Be 2.16



GdBiB4: relaxed, PBE-GGA.

Its energy above the most stable polymorph in this dataset is 27 meV per atom.

Cell: 3.2803 3.2803 8.2070 Å, 90.00 90.00 120.00°
Last column: nearest neighbours and their distance in Å.
Space group P6/mmm (No. 191)
Inequivalent atoms, fractional coordinates:
Gd 0.0000 0.0000 0.0000 (multiplicity 1)  12 B 2.70
Bi 0.0000 0.0000 0.5000 (multiplicity 1)  12 B 2.89
B 0.3333 0.6667 0.2345 (multiplicity 4)  3 B 1.89



LuZnCuNi: relaxed, PBE-GGA.

Its energy above the most stable polymorph in this dataset is 108 meV per atom. Its formation energy is -0.73 eV per formula unit.

Cell: 6.2813 6.2813 6.2813 Å, 90.00 90.00 90.00°
Last column: nearest neighbours and their distance in Å.
Space group F-43m (No. 216)
Inequivalent atoms, fractional coordinates:
Lu 0.0000 0.0000 0.0000 (multiplicity 4)  4 Ni 2.72, 4 Zn 2.72
Zn 0.2500 0.2500 0.2500 (multiplicity 4)  4 Cu 2.72, 4 Lu 2.72
Cu 0.0000 0.0000 0.5000 (multiplicity 4)  4 Ni 2.72, 4 Zn 2.72
Ni 0.2500 0.2500 0.7500 (multiplicity 4)  4 Cu 2.72, 4 Lu 2.72



GdTePbO: relaxed, PBE-GGA.

Its energy above the most stable polymorph in this dataset is 0 meV per atom.

Cell: 5.1739 5.1739 31.1794 Å, 90.00 90.00 120.00°
Last column: nearest neighbours and their distance in Å.
Space group R-3m (No. 166, hexagonal axes)
Inequivalent atoms, fractional coordinates:
Gd 0.0000 0.0000 0.2271 (multiplicity 6)  1 O 2.09
Te 0.0000 0.0000 0.1200 (multiplicity 6)  4 Gd 3.02-3.34
Pb 0.0000 0.0000 0.3676 (multiplicity 6)  1 O 2.29
O 0.0000 0.0000 0.2942 (multiplicity 6)  1 Gd 2.09, 1 Pb 2.29